Computed, not measured: a relaxed structure of LiOsOF2 at the GGA-PBE level of DFT.

Unit cell a=4.3694 b=4.3694 c=3.7388 alpha=90.00 beta=90.00 gamma=90.00
Closest atoms and distances in Å follow each position.
Element x y z (fractional)
Li  0.0000  0.0000  0.0000  8 F 2.88, 4 O 3.09
Os  0.5000  0.5000  0.5000  2 O 1.87
O  0.5000  0.5000  0.0000  2 Os 1.87
F  0.0000  0.5000  0.5000  2 Os 2.18
F  0.5000  0.0000  0.5000  2 Os 2.18

Summary:
- E_tot: -27.6 eV per cell
- Volume: 71.4 Å³ per cell
- Size of the total moment: 0.112 Bohr magnetons per cell
- Energy above the most stable polymorph in this dataset: 0.00 eV/f.u.
- E_form (uncorrected): -1.1515 eV/atom